(1)
VASP calculation (GGA-PBE) on a geometry-optimized Dy3Sc4Se8 structure.

abc: 7.9231 7.9231 7.8937
angles: 119.86 119.86 90.04
Closest atoms and distances in Å follow each position.
Fractional coordinates of all 15 atoms:
Dy1 0.0000 0.0000 0.0000  6 Se 2.85-2.86
Dy2 0.0000 0.5000 0.5000  6 Se 2.80
Dy3 0.5000 0.0000 0.5000  6 Se 2.80
Sc1 0.0000 0.5000 0.0000  6 Se 2.80
Sc2 0.5000 0.0000 0.0000  6 Se 2.80
Sc3 0.5000 0.5000 0.0000  6 Se 2.75
Sc4 0.5000 0.5000 0.5000  6 Se 2.79
Se1 0.2513 0.7487 0.5000  3 Sc 2.79-2.80, 2 Dy 2.80
Se2 0.2550 0.7450 0.0000  3 Sc 2.75-2.80, 3 Dy 2.80-2.86
Se3 0.2560 0.2560 0.0023  4 Sc 2.75-2.80, 1 Dy 2.85
Se4 0.2559 0.2559 0.5096  2 Sc 2.75-2.79, 3 Dy 2.80-2.86
Se5 0.7441 0.7441 0.4904  2 Sc 2.75-2.79, 3 Dy 2.80-2.86
Se6 0.7440 0.7440 0.9977  4 Sc 2.75-2.80, 1 Dy 2.85
Se7 0.7450 0.2550 0.0000  3 Sc 2.75-2.80, 3 Dy 2.80-2.86
Se8 0.7487 0.2513 0.5000  3 Sc 2.79-2.80, 2 Dy 2.80

## Properties
Its space group is No. 12. The value obtained for the total magnetic moment is 0.00 μB/f.u. The calculation puts the uncorrected formation energy at -25.9 eV/f.u.

---

(2)
VASP calculation (GGA-PBE) on a geometry-optimized Dy2Sc3Se6 structure.

abc: 19.6671 19.6671 19.6671
angles: 11.69 11.69 11.69
Closest atoms and distances in Å follow each position.
Fractional coordinates of all 11 atoms:
Dy1 0.0558 0.0558 0.0558  6 Se 2.74-3.00
Dy2 0.9442 0.9442 0.9442  6 Se 2.74-3.00
Sc1 0.2177 0.2177 0.2177  6 Se 2.74-2.81
Sc2 0.5000 0.5000 0.5000  6 Se 2.77
Sc3 0.7823 0.7823 0.7823  6 Se 2.74-2.81
Se1 0.1408 0.1408 0.1408  6 Sc 2.74-2.77
Se2 0.3025 0.3025 0.3025  3 Dy 2.74
Se3 0.4218 0.4218 0.4218  3 Sc 2.81, 3 Dy 3.00
Se4 0.5782 0.5782 0.5782  3 Sc 2.81, 3 Dy 3.00
Se5 0.6975 0.6975 0.6975  3 Dy 2.74
Se6 0.8592 0.8592 0.8592  6 Sc 2.74-2.77

## Properties
Its space group is No. 166. The value obtained for the total magnetic moment is 0.00 μB/f.u. The calculation puts the uncorrected formation energy at -18.4 eV/f.u.

---

(3)
VASP calculation (GGA-PBE) on a geometry-optimized Dy2Sc3Se6 structure.

abc: 6.7894 6.7894 6.8764
angles: 99.53 99.53 119.77
Closest atoms and distances in Å follow each position.
Fractional coordinates of all 11 atoms:
Dy1 0.1654 0.8346 0.0000  6 Se 2.83-2.85
Dy2 0.8346 0.1654 0.0000  6 Se 2.83-2.85
Sc1 0.0000 0.0000 0.5000  6 Se 2.73-2.81
Sc2 0.3334 0.6666 0.5000  6 Se 2.73-2.78
Sc3 0.6666 0.3334 0.5000  6 Se 2.73-2.78
Se1 0.0864 0.4133 0.7394  3 Sc 2.73-2.78, 2 Dy 2.85
Se2 0.2611 0.2611 0.2583  3 Sc 2.73-2.81, 2 Dy 2.83
Se3 0.4133 0.0864 0.7394  3 Sc 2.73-2.78, 2 Dy 2.85
Se4 0.5867 0.9136 0.2606  3 Sc 2.73-2.78, 2 Dy 2.85
Se5 0.7389 0.7389 0.7417  3 Sc 2.73-2.81, 2 Dy 2.83
Se6 0.9136 0.5867 0.2606  3 Sc 2.73-2.78, 2 Dy 2.85

## Properties
Its space group is No. 12. The value obtained for the total magnetic moment is 0.00 μB/f.u. The calculation puts the uncorrected formation energy at -19.4 eV/f.u.